1.
Crystalline MnCr2Re at its relaxed geometry. Source: Alexandria, functional PBE-GGA.

Summary:
Its energy relative to the elements is 0.085 eV/atom. The volume comes out at 12.47 Å³ per atom. As for the density of states at the Fermi level: 1.220 states/eV per atom. The symmetry is Pmmm, No. 47.

Structure (POSCAR):
```
MnCr2Re
1.0
2.920 0.000 0.000
0.000 4.113 0.000
0.000 0.000 4.154
Mn Cr Re
1 2 1
Direct
0.000 0.000 0.000
0.000 0.500 0.500
0.500 0.000 0.500
0.500 0.500 0.000
```



2.
Crystalline Mg2AlTe at its relaxed geometry. Source: Alexandria, functional PBE-GGA.

Summary:
The uncorrected formation energy is -0.37 eV per formula unit. The volume comes out at 23.45 Å³ per atom. The relative energy among the computed polymorphs is 0.046 eV per atom. As for the density of states at the Fermi level: 0.223 states/eV per atom. The symmetry is P4mm, No. 99.

Structure (POSCAR):
```
Mg2AlTe
1.0
3.889 0.000 0.000
0.000 3.889 0.000
0.000 0.000 6.203
Mg Al Te
2 1 1
Direct
0.000 0.000 0.000
0.500 0.500 0.304
0.500 0.500 0.812
0.000 0.000 0.491
```



Number 1: uncorrected energy -0.7446 Ry per atom. Number 2: uncorrected energy -0.1920 Ry per atom.